# 1
The following is a DFT calculation (meta-GGA SCAN) of Sr2ZnAs at its PBEsol-relaxed geometry.

Results
Distance to the lowest polymorph of the same formula, eV/atom: 0.2636
Formation enthalpy at 0 K, kJ/mol of atoms: -51.30

Unit cell a=4.5037 b=4.5037 c=6.2492 alpha=90.00 beta=90.00 gamma=90.00
Closest atoms and distances in Å follow each position.
Fractional coordinates of all 4 atoms:
Sr 0.0000 0.0000 0.5000  2 Zn 3.12, 4 As 3.18
Zn 0.0000 0.0000 0.0000  6 Sr 3.12-3.18
As 0.5000 0.5000 0.5000  6 Sr 3.12-3.18
Sr 0.5000 0.5000 0.0000  2 As 3.12, 4 Zn 3.18

=====

# 2
The following is a DFT calculation (meta-GGA SCAN) of IrPb2Au at its PBEsol-relaxed geometry.

Results
Distance to the lowest polymorph of the same formula, eV/atom: 0.1306
Formation enthalpy at 0 K, kJ/mol of atoms: 46.78

Unit cell a=5.0173 b=4.8251 c=5.0183 alpha=121.33 beta=90.00 gamma=121.33
Closest atoms and distances in Å follow each position.
Fractional coordinates of all 4 atoms:
Pb 0.7501 0.5001 0.7501  4 Au 2.99-3.00, 4 Ir 2.99, 2 Pb 3.27
Pb 0.2499 0.4999 0.2499  4 Au 2.99-3.00, 4 Ir 2.99, 2 Pb 3.27
Ir 0.0000 0.0000 0.5000  8 Pb 2.99, 2 Au 3.27
Au 0.5000 0.0000 0.0000  8 Pb 2.99-3.00, 2 Ir 3.27

=====

# 3
The following is a DFT calculation (meta-GGA SCAN) of CaSc2Ag at its PBEsol-relaxed geometry.

Results
Formation enthalpy at 0 K, kJ/mol of atoms: 14.62

Unit cell a=3.1828 b=5.4823 c=6.2266 alpha=114.57 beta=102.33 gamma=95.48
Closest atoms and distances in Å follow each position.
Fractional coordinates of all 4 atoms:
Sc 0.0000 0.0000 0.5000  6 Sc 3.04-3.30, 2 Ca 3.18, 2 Ag 3.18
Ca 0.0000 0.5000 0.0000  4 Ag 3.04-3.30, 4 Sc 3.18, 2 Ca 3.18
Sc 0.5000 0.5000 0.5000  6 Sc 3.04-3.30, 2 Ca 3.18, 2 Ag 3.18
Ag 0.5000 0.0000 0.0000  4 Ca 3.04-3.30, 4 Sc 3.18, 2 Ag 3.18

=====

# 4
The following is a DFT calculation (meta-GGA SCAN) of K2Ta3S6 at its PBEsol-relaxed geometry.

Results
ΔE_f (raw), eV/atom: -1.351

Unit cell a=5.8047 b=5.8047 c=16.0176 alpha=79.56 beta=79.56 gamma=60.00
Closest atoms and distances in Å follow each position.
Fractional coordinates of all 22 atoms:
Ta 0.8321 0.5000 0.5000  6 S 2.46-2.48
S 0.8014 0.1311 0.5980  3 Ta 2.46-2.48
S 0.1311 0.4695 0.5980  3 Ta 2.46-2.48
S 0.4695 0.8014 0.5980  3 Ta 2.46-2.48
S 0.0304 0.3681 0.9018  3 Ta 2.47-2.48
K 0.5829 0.5829 0.2513  6 S 3.06-3.09, 3 K 3.35
Ta 0.1679 0.8321 0.5000  6 S 2.46-2.48
S 0.6997 0.0304 0.9018  3 Ta 2.47-2.48
S 0.3003 0.6319 0.0982  3 Ta 2.47-2.48
S 0.3681 0.6997 0.9018  3 Ta 2.47-2.48
K 0.9163 0.9163 0.2511  6 S 3.06-3.08, 3 K 3.35
Ta 0.0000 0.0000 0.0000  6 S 2.48
K 0.4171 0.4171 0.7487  6 S 3.06-3.09, 3 K 3.35
S 0.6319 0.9696 0.0982  3 Ta 2.47-2.48
S 0.5305 0.8689 0.4020  3 Ta 2.46-2.48
S 0.9696 0.3003 0.0982  3 Ta 2.47-2.48
S 0.1986 0.5305 0.4020  3 Ta 2.46-2.48
Ta 0.3335 0.3335 0.9996  6 S 2.47
S 0.8689 0.1986 0.4020  3 Ta 2.46-2.48
Ta 0.5000 0.1679 0.5000  6 S 2.46-2.48
K 0.0837 0.0837 0.7489  6 S 3.06-3.08, 3 K 3.35
Ta 0.6665 0.6665 0.0004  6 S 2.47

=====

# 5
The following is a DFT calculation (meta-GGA SCAN) of RbHgP2N at its PBEsol-relaxed geometry.

Results
ΔE_f (raw), eV/atom: 1.923

Unit cell a=5.6534 b=6.7286 c=6.7286 alpha=90.00 beta=90.00 gamma=90.00
Closest atoms and distances in Å follow each position.
Fractional coordinates of all 5 atoms:
Rb 0.0000 0.0000 0.0000  2 N 2.83
P 0.0000 0.5000 0.0000  2 Rb 3.36
P 0.0000 0.0000 0.5000  2 Rb 3.36
N 0.5000 0.0000 0.0000  2 Rb 2.83
Hg 0.5000 0.5000 0.5000  8 P 4.39, 4 N 4.76

=====

# 6
The following is a DFT calculation (meta-GGA SCAN) of Th3In at its PBEsol-relaxed geometry.

Results
Formation enthalpy at 0 K, kJ/mol of atoms: -20.87

Unit cell a=4.8761 b=4.8761 c=4.8761 alpha=90.00 beta=90.00 gamma=90.00
Closest atoms and distances in Å follow each position.
Fractional coordinates of all 4 atoms:
Th 0.5000 0.0000 0.5000  8 Th 3.45, 4 In 3.45
Th 0.0000 0.5000 0.5000  8 Th 3.45, 4 In 3.45
Th 0.5000 0.5000 0.0000  8 Th 3.45, 4 In 3.45
In 0.0000 0.0000 0.0000  12 Th 3.45